Record 1
This record from Alexandria describes crystalline ReNiP2 at its relaxed geometry. The functional is GGA-PBE.

The structure in CIF format:
```
data_ReNiP2
_chemical_formula_sum 'Re2 Ni2 P4'
_cell_length_a 3.020
_cell_length_b 3.958
_cell_length_c 8.813
_cell_angle_alpha 90.00
_cell_angle_beta 90.00
_cell_angle_gamma 90.00
_symmetry_space_group_name_H-M 'I m m 2'
_symmetry_Int_Tables_number 44
loop_
_symmetry_equiv_pos_as_xyz
'x,y,z'
'-x,-y,z'
'-x,y,z'
'x,-y,z'
'x+1/2,y+1/2,z+1/2'
'-x+1/2,-y+1/2,z+1/2'
'-x+1/2,y+1/2,z+1/2'
'x+1/2,-y+1/2,z+1/2'
loop_
_atom_site_label
_atom_site_fract_x
_atom_site_fract_y
_atom_site_fract_z
_atom_site_occupancy
Re1 0.000 0.000 0.000 1
Ni1 0.000 0.500 0.783 1
P1 0.000 0.000 0.493 1
P2 0.000 0.500 0.276 1
```

Summary:
* DOS at the Fermi energy: 0.656 states/eV per atom
* DFT total energy: -57.26 eV for the cell shown
* energy of formation: 0.105 eV per atom

Record 2
This record from Alexandria describes crystalline SrCoW2 at its relaxed geometry. The functional is GGA-PBE.

The structure in CIF format:
```
data_SrCoW2
_chemical_formula_sum 'Sr3 Co3 W6'
_cell_length_a 2.8490
_cell_length_b 2.8490
_cell_length_c 30.2310
_cell_angle_alpha 90.00
_cell_angle_beta 90.00
_cell_angle_gamma 120.00
_symmetry_space_group_name_H-M 'R -3 m'
_symmetry_Int_Tables_number 166
_symmetry_space_group_name_Hall '-R 3 2"'
loop_
_atom_site_label
_atom_site_fract_x
_atom_site_fract_y
_atom_site_fract_z
_atom_site_occupancy
Sr1 0.0000 0.0000 0.0000 1
Co1 0.0000 0.0000 0.5000 1
W1 0.0000 0.0000 0.2344 1
```

Summary:
* DOS at the Fermi energy: 1.412 states/eV per atom
* DFT total energy: -91.66 eV for the cell shown
* energy of formation: 1.035 eV per atom

Record 3
This record from Alexandria describes crystalline Cu2Bi2RhO6 at its relaxed geometry. The functional is GGA-PBE.

The structure in CIF format:
```
data_Cu2Bi2RhO6
_chemical_formula_sum 'Cu6 Bi6 Rh3 O18'
_cell_length_a 5.9030
_cell_length_b 5.9030
_cell_length_c 15.3184
_cell_angle_alpha 90.00
_cell_angle_beta 90.00
_cell_angle_gamma 120.00
_symmetry_space_group_name_H-M 'R -3 m'
_symmetry_Int_Tables_number 166
_symmetry_space_group_name_Hall '-R 3 2"'
loop_
_atom_site_label
_atom_site_fract_x
_atom_site_fract_y
_atom_site_fract_z
_atom_site_occupancy
Cu1 0.0000 0.0000 0.0857 1
Bi1 0.0000 0.0000 0.3015 1
Rh1 0.0000 0.0000 0.5000 1
O1 0.0397 0.5199 0.2567 1
```

Summary:
* DOS at the Fermi energy: 0.878 states/eV per atom
* ΔE_f (raw): -7.81 eV/f.u.
* DFT total energy: -182.58 eV for the cell shown

Record 4
This record from Alexandria describes crystalline Hf2VPt at its relaxed geometry. The functional is GGA-PBE.

The structure in CIF format:
```
data_Hf2VPt
_chemical_formula_sum 'Hf8 V4 Pt4'
_cell_length_a 6.582
_cell_length_b 6.582
_cell_length_c 6.582
_cell_angle_alpha 90.00
_cell_angle_beta 90.00
_cell_angle_gamma 90.00
_symmetry_space_group_name_H-M 'F m -3 m'
_symmetry_Int_Tables_number 225
_symmetry_space_group_name_Hall '-F 4 2 3'
loop_
_atom_site_label
_atom_site_fract_x
_atom_site_fract_y
_atom_site_fract_z
_atom_site_occupancy
Hf1 0.250 0.250 0.250 1
V1 0.000 0.000 0.000 1
Pt1 0.000 0.000 0.500 1
```

Summary:
* DOS at the Fermi energy: 0.998 states/eV per atom
* DFT total energy: -147.59 eV for the cell shown
* energy of formation: -0.458 eV per atom

Record 5
This record from Alexandria describes crystalline Sc2Ag3Hg2 at its relaxed geometry. The functional is GGA-PBE.

The structure in CIF format:
```
data_Sc2Ag3Hg2
_chemical_formula_sum 'Sc4 Ag6 Hg4'
_cell_length_a 4.866
_cell_length_b 9.357
_cell_length_c 6.696
_cell_angle_alpha 90.00
_cell_angle_beta 93.79
_cell_angle_gamma 90.00
_symmetry_space_group_name_H-M 'P 1 21/c 1'
_symmetry_Int_Tables_number 14
loop_
_symmetry_equiv_pos_as_xyz
'x,y,z'
'-x,-y,-z'
'-x,y+1/2,-z+1/2'
'x,-y+1/2,z+1/2'
loop_
_atom_site_label
_atom_site_fract_x
_atom_site_fract_y
_atom_site_fract_z
_atom_site_occupancy
Sc1 0.015 0.231 0.287 1
Ag1 0.000 0.000 0.000 1
Ag2 0.266 0.024 0.604 1
Hg1 0.488 0.679 0.469 1
```

Summary:
* DOS at the Fermi energy: 0.606 states/eV per atom
* DFT total energy: -44.91 eV for the cell shown
* energy of formation: -0.091 eV per atom

Record 6
This record from Alexandria describes crystalline CdSbH2 at its relaxed geometry. The functional is GGA-PBE.

The structure in CIF format:
```
data_CdSbH2
_chemical_formula_sum 'Cd2 Sb2 H4'
_cell_length_a 3.253
_cell_length_b 7.226
_cell_length_c 7.469
_cell_angle_alpha 74.91
_cell_angle_beta 87.45
_cell_angle_gamma 89.46
_symmetry_space_group_name_H-M 'P -1'
_symmetry_Int_Tables_number 2
loop_
_symmetry_equiv_pos_as_xyz
'x,y,z'
'-x,-y,-z'
loop_
_atom_site_label
_atom_site_fract_x
_atom_site_fract_y
_atom_site_fract_z
_atom_site_occupancy
Cd1 0.000 0.000 0.000 1
Cd2 0.000 0.500 0.000 1
Sb1 0.211 0.174 0.274 1
H1 0.466 0.305 0.633 1
H2 0.492 0.610 0.329 1
```

Summary:
* DOS at the Fermi energy: 0.175 states/eV per atom
* DFT total energy: -22.82 eV for the cell shown

Question: Which formula does entry 6 have?
Answer: CdSbH2

Question: Which of these has the lowest DOS at the Fermi energy?
Answer: CdSbH2

Question: What is the formula in the first record?
Answer: ReNiP2